Density functional theory data (PBE) for crystalline FeOs2Pt at its relaxed geometry.

VASP energy = -0.64486 Ry/atom
ΔE_f = 467 meV per atom
magnetization = 0.727 μB/atom

Cell: 6.143 6.143 6.143 Å, 90.00 90.00 90.00°
Element x y z (fractional)
Fe1 0.000 0.000 0.000
Fe2 0.000 0.500 0.500
Fe3 0.500 0.000 0.500
Fe4 0.500 0.500 0.000
Os1 0.000 0.000 0.500
Os2 0.000 0.500 0.000
Os3 0.250 0.250 0.250
Os4 0.250 0.750 0.750
Os5 0.500 0.000 0.000
Os6 0.500 0.500 0.500
Os7 0.750 0.250 0.750
Os8 0.750 0.750 0.250
Pt1 0.250 0.250 0.750
Pt2 0.250 0.750 0.250
Pt3 0.750 0.250 0.250
Pt4 0.750 0.750 0.750